# 1
Material: NbCr3Cu2S8
Method: DFT, PBE
State: relaxed

a b c (Å): 6.9425 6.9425 6.9419
angles (deg): 118.21 118.21 61.86
Sites, in units of the cell vectors:
Nb: 0.0000 0.0000 0.0000
Cr: 0.0211 0.4730 0.0012
Cr: 0.0227 0.9773 0.5000
Cr: 0.5270 0.9789 0.9988
Cu: 0.3850 0.3649 0.6238
Cu: 0.6351 0.6150 0.3762
S: 0.2453 0.7310 0.2425
S: 0.2609 0.2205 0.7594
S: 0.2690 0.7547 0.7575
S: 0.2743 0.2217 0.2325
S: 0.7711 0.2223 0.2557
S: 0.7777 0.2289 0.7443
S: 0.7783 0.7257 0.7675
S: 0.7795 0.7391 0.2406

Formation energy without anion corrections (eV per atom): -0.69
Fermi-level density of states (states/eV per cell): 4.933
Energy relative to the lowest polymorph listed for this composition (eV/atom): 0.0050
Space-group type: No. 5



# 2
Material: Ac2Zn4Ge3Au
Method: DFT, PBE
State: relaxed

a b c (Å): 4.4920 4.4920 10.5630
angles (deg): 90.00 90.00 90.00
Sites, in units of the cell vectors:
Ac: 0.0000 0.5000 0.2487
Ac: 0.5000 0.0000 0.7513
Zn: 0.0000 0.0000 0.0000
Zn: 0.0000 0.5000 0.6296
Zn: 0.5000 0.0000 0.3704
Zn: 0.5000 0.5000 0.0000
Ge: 0.0000 0.5000 0.8689
Ge: 0.5000 0.0000 0.1311
Ge: 0.5000 0.5000 0.5000
Au: 0.0000 0.0000 0.5000

Fermi-level density of states (states/eV per cell): 3.023
Space-group type: No. 115
Formation energy (eV/atom): -0.49



# 3
Material: LiCd8Au5
Method: DFT, PBE
State: relaxed

a b c (Å): 7.2824 7.2824 7.2824
angles (deg): 109.62 109.62 109.17
Sites, in units of the cell vectors:
Li: 0.0000 0.0000 0.0000
Cd: 0.0516 0.3008 0.4189
Cd: 0.2338 0.1442 0.7557
Cd: 0.3674 0.9484 0.2492
Cd: 0.3885 0.4780 0.2443
Cd: 0.5220 0.7662 0.9104
Cd: 0.6992 0.1182 0.7508
Cd: 0.8558 0.6115 0.0896
Cd: 0.8818 0.6326 0.5811
Au: 0.1001 0.4929 0.8730
Au: 0.2500 0.7500 0.5000
Au: 0.5071 0.3801 0.6072
Au: 0.6199 0.2271 0.1270
Au: 0.7729 0.8999 0.3928

Fermi-level density of states (states/eV per cell): 3.367
Space-group type: No. 82
Formation energy (eV/atom): -0.14



# 4
Material: AcPd5Pb2
Method: DFT, PBE
State: relaxed

a b c (Å): 7.5143 7.5143 7.5143
angles (deg): 145.65 132.97 59.52
Sites, in units of the cell vectors:
Ac: 0.0000 0.0000 0.0000
Pd: 0.1577 0.3893 0.7684
Pd: 0.3791 0.6107 0.7684
Pd: 0.5000 0.0000 0.5000
Pd: 0.6209 0.3893 0.2316
Pd: 0.8423 0.6107 0.2316
Pb: 0.2837 0.7837 0.5000
Pb: 0.7163 0.2163 0.5000

Fermi-level density of states (states/eV per cell): 3.005
Space-group type: No. 71
Formation energy (eV/atom): -0.47